TbBiPb2O6 PBE optimized geometry; energy relative to the elements, uncorrected = -1.630 eV/atom; magnetic moment = 0.000 μB/atom; crystal system = monoclinic
1.0
5.9824 0.0000 0.0000
0.0000 6.1194 0.0000
-5.9575 0.0000 8.5815
Tb Bi Pb O
2 2 4 12
direct
0.0000 0.0000 0.0000 Tb
0.0000 0.5000 0.5000 Tb
0.5000 0.0000 0.5000 Bi
0.5000 0.5000 0.0000 Bi
0.2456 0.0349 0.7508 Pb
0.2456 0.4651 0.2507 Pb
0.7544 0.5349 0.7492 Pb
0.7544 0.9651 0.2492 Pb
0.1631 0.1949 0.4550 O
0.1631 0.3051 0.9550 O
0.2667 0.7082 0.4556 O
0.2667 0.7918 0.9556 O
0.3495 0.0255 0.2576 O
0.3495 0.4745 0.7576 O
0.6505 0.5255 0.2424 O
0.6505 0.9745 0.7424 O
0.7333 0.2082 0.0444 O
0.7333 0.2918 0.5444 O
0.8369 0.6949 0.0450 O
0.8369 0.8051 0.5450 O